# 1
Below is an optimized crystal structure of ZrAuCl2, with properties calculated at the PBE-GGA level.

Unit cell a=3.611 b=3.611 c=8.617 alpha=78.23 beta=78.23 gamma=60.06
Sites, in units of the cell vectors:
Au1 0.244 0.244 0.266
Cl1 0.976 0.976 0.061
Cl2 0.775 0.775 0.685
Zr1 0.505 0.505 0.488

Properties
For the energy above the most stable polymorph in this dataset, the calculation gives 0.65 eV per formula unit. Its uncorrected formation energy is -19.24 kcal/mol of atoms.

***

# 2
Below is an optimized crystal structure of Zr2AuCl, with properties calculated at the PBE-GGA level.

Unit cell a=4.253 b=4.253 c=6.604 alpha=80.99 beta=80.99 gamma=43.56
Sites, in units of the cell vectors:
Cl1 0.250 0.250 0.250
Zr1 0.000 0.000 0.016
Zr2 0.500 0.500 0.484
Au1 0.750 0.750 0.750

Properties
For the energy above the most stable polymorph in this dataset, the calculation gives 0.76 eV per formula unit. Its uncorrected formation energy is -10.77 kcal/mol of atoms.

***

# 3
Below is an optimized crystal structure of Zr2Au2Cl, with properties calculated at the PBE-GGA level.

Unit cell a=7.063 b=7.063 c=4.189 alpha=90.00 beta=90.00 gamma=90.00
Sites, in units of the cell vectors:
Au1 0.860 0.360 0.500
Au2 0.640 0.860 0.500
Au3 0.360 0.140 0.500
Au4 0.140 0.640 0.500
Zr1 0.663 0.163 0.000
Zr2 0.837 0.663 0.000
Zr3 0.163 0.337 0.000
Zr4 0.337 0.837 0.000
Cl1 0.500 0.500 0.000
Cl2 0.000 0.000 0.000

Properties
Its uncorrected formation energy is -13.21 kcal/mol of atoms.

***

# 4
Below is an optimized crystal structure of ZrAu2Cl, with properties calculated at the PBE-GGA level.

Unit cell a=3.221 b=3.222 c=7.812 alpha=90.00 beta=90.00 gamma=90.00
Site moments in Bohr magnetons follow the coordinates.
Sites, in units of the cell vectors:
Cl1 0.500 0.500 0.250  0.00
Au1 0.000 0.000 0.511  0.01
Au2 0.000 0.000 0.989  0.01
Zr1 0.500 0.500 0.750  0.19

Properties
For the energy above the most stable polymorph in this dataset, the calculation gives 0.85 eV per formula unit. Its uncorrected formation energy is -8.56 kcal/mol of atoms.